(1)
Material: SrCo2Rh
Method: DFT, PBE-GGA
State: relaxed

Cell: 5.5009 8.7914 2.8551 Å, 90.00 107.30 90.00°
With the nearest neighbours (Å) after each atom.
Space group C2/m (No. 12)
Symmetry-distinct sites (fractional):
Sr (0.0000, 0.0000, 0.0000) [2 per cell]  2 Rh 2.75, 4 Co 2.76, 2 Sr 2.86
Co (0.2500, 0.2500, 0.5000) [4 per cell]  4 Co 2.75-2.86, 2 Rh 2.76, 2 Sr 2.76
Rh (0.0000, 0.5000, 0.0000) [2 per cell]  2 Sr 2.75, 4 Co 2.76, 2 Rh 2.86

Results
Size of the total moment = 7.16 μB per cell
E_tot = -0.3794 Ry/atom

(2)
Material: SrCoRh2
Method: DFT, PBE-GGA
State: relaxed

Cell: 2.9070 3.6541 6.8349 Å, 90.00 90.00 90.00°
With the nearest neighbours (Å) after each atom.
Space group Pmm2 (No. 25)
Symmetry-distinct sites (fractional):
Sr (0.0000, 0.0000, 0.0000) [1 per cell]  2 Sr 2.91, 4 Rh 3.13
Co (0.5000, 0.5000, 0.3331) [1 per cell]  5 Rh 2.48-2.54
Rh (0.0000, 0.0000, 0.4812) [1 per cell]  4 Co 2.54, 4 Rh 2.76
Rh (0.5000, 0.5000, 0.6954) [1 per cell]  1 Co 2.48, 4 Rh 2.76

Results
Distance to the lowest polymorph of the same formula = 0.293 eV/atom
Size of the total moment = 2.52 μB per cell

(3)
Material: SrCoRh2
Method: DFT, PBE-GGA
State: relaxed

Cell: 6.5399 6.5399 6.5399 Å, 90.00 90.00 90.00°
With the nearest neighbours (Å) after each atom.
Space group F-43m (No. 216)
Symmetry-distinct sites (fractional):
Sr (0.0000, 0.0000, 0.0000) [4 per cell]  4 Rh 2.83, 4 Co 2.83
Co (0.2500, 0.2500, 0.7500) [4 per cell]  4 Rh 2.83, 4 Sr 2.83
Rh (0.0000, 0.0000, 0.5000) [4 per cell]  4 Co 2.83, 4 Rh 2.83
Rh (0.2500, 0.2500, 0.2500) [4 per cell]  4 Rh 2.83, 4 Sr 2.83

Results
Distance to the lowest polymorph of the same formula = 0.464 eV/atom
Size of the total moment = 11.47 μB per cell

(4)
Material: SrCo2Rh
Method: DFT, PBE-GGA
State: relaxed

Cell: 4.1886 4.1886 15.8274 Å, 90.00 90.00 120.00°
With the nearest neighbours (Å) after each atom.
Space group R-3m (No. 166, hexagonal axes)
Symmetry-distinct sites (fractional):
Sr (0.0000, 0.0000, 0.0000) [3 per cell]  2 Co 2.94
Co (0.0000, 0.0000, 0.1859) [6 per cell]  3 Rh 2.44, 3 Co 2.49
Rh (0.0000, 0.0000, 0.5000) [3 per cell]  6 Co 2.44

Results
Size of the total moment = 8.70 μB per cell
E_tot = -0.4230 Ry/atom